Record 1
ErTl2InF6 after structural relaxation. Source: Alexandria via LeMat-Bulk, functional GGA-PBE.

Calculated values
Calculated density ... 6.38 g cm⁻³
Formation energy from raw total energies ... -2692 meV/atom

Cell: 6.513 6.515 6.520 Å, 63.19 63.19 63.15°
Positions (direct):
Er  0.000  0.000  0.000
Tl  0.241  0.241  0.240
Tl  0.759  0.759  0.760
In  0.500  0.500  0.500
F  0.124  0.808  0.316
F  0.193  0.684  0.876
F  0.315  0.125  0.809
F  0.685  0.875  0.191
F  0.807  0.316  0.124
F  0.876  0.192  0.684


Record 2
PmNdSmTl after structural relaxation. Source: Alexandria via LeMat-Bulk, functional GGA-PBE.

Calculated values
Calculated density ... 8.72 g cm⁻³
Calculated formation energy ... -200 meV per atom
Relative energy among the computed polymorphs ... 0.0 meV per atom

Cell: 4.946 4.969 4.990 Å, 90.00 90.00 90.00°
Positions (direct):
Pm  0.000  0.000  0.000
Nd  0.500  0.500  0.000
Sm  0.000  0.500  0.500
Tl  0.500  0.000  0.500


Record 3
Ba2TcW after structural relaxation. Source: Alexandria via LeMat-Bulk, functional GGA-PBE.

Calculated values
Calculated density ... 9.08 g cm⁻³
Calculated formation energy ... 1583 meV per atom
Relative energy among the computed polymorphs ... 1074.8 meV per atom

Cell: 3.012 5.621 6.009 Å, 90.00 90.00 90.00°
Positions (direct):
Ba  0.000  0.000  0.249
Ba  0.000  0.000  0.751
Tc  0.500  0.500  0.000
W  0.500  0.500  0.500


Record 4
Pm2YCu after structural relaxation. Source: Alexandria via LeMat-Bulk, functional GGA-PBE.

Calculated values
Calculated density ... 6.13 g cm⁻³
Calculated formation energy ... 259 meV per atom
Relative energy among the computed polymorphs ... 337.3 meV per atom

Cell: 11.199 11.199 11.199 Å, 18.21 18.21 18.21°
Positions (direct):
Pm  0.104  0.104  0.104
Pm  0.896  0.896  0.896
Y  0.000  0.000  0.000
Cu  0.500  0.500  0.500


Record 5
TbNd2HoSc4 after structural relaxation. Source: Alexandria via LeMat-Bulk, functional GGA-PBE.

Calculated values
Calculated density ... 5.77 g cm⁻³
Calculated formation energy ... 65 meV per atom

Cell: 5.979 3.456 11.201 Å, 90.00 100.15 90.00°
Positions (direct):
Tb  0.000  0.000  0.000
Nd  0.500  0.000  0.500
Nd  0.500  0.500  0.000
Ho  0.000  0.500  0.500
Sc  0.248  0.000  0.749
Sc  0.248  0.500  0.250
Sc  0.752  0.000  0.251
Sc  0.752  0.500  0.750


Record 6
Ce2NpSi after structural relaxation. Source: Alexandria via LeMat-Bulk, functional GGA-PBE.

Calculated values
Calculated density ... 9.97 g cm⁻³
Formation energy from raw total energies ... -166 meV/atom

Cell: 4.554 4.554 4.380 Å, 90.00 90.00 90.00°
Positions (direct):
Ce  0.000  0.500  0.000
Ce  0.500  0.000  0.000
Np  0.000  0.000  0.500
Si  0.500  0.500  0.500


Record 7
K2RbHgAu after structural relaxation. Source: Alexandria via LeMat-Bulk, functional GGA-PBE.

Calculated values
Calculated density ... 3.48 g cm⁻³
Calculated formation energy ... -109 meV per atom
Relative energy among the computed polymorphs ... 41.4 meV per atom

Cell: 6.360 6.360 6.628 Å, 90.00 90.00 90.00°
Positions (direct):
K  0.000  0.500  0.000
K  0.500  0.000  0.000
Rb  0.000  0.000  0.500
Hg  0.500  0.500  0.500
Au  0.000  0.000  0.000


Record 8
BaAs2 after structural relaxation. Source: Alexandria via LeMat-Bulk, functional GGA-PBE.

Calculated values
Calculated density ... 5.41 g cm⁻³
Calculated formation energy ... -766 meV per atom

Cell: 4.638 4.638 4.730 Å, 90.00 90.00 120.00°
Positions (direct):
Ba  0.000  0.000  0.000
As  0.333  0.667  0.462
As  0.667  0.333  0.538


Record 9
La5Tb2Pr3 after structural relaxation. Source: Alexandria via LeMat-Bulk, functional GGA-PBE.

Calculated values
Calculated density ... 6.58 g cm⁻³
Calculated formation energy ... 144 meV per atom

Cell: 9.335 9.335 10.298 Å, 108.68 108.68 106.91°
Positions (direct):
La  0.023  0.977  0.750
La  0.132  0.379  0.758
La  0.230  0.770  0.750
La  0.276  0.724  0.250
La  0.379  0.132  0.258
La  0.621  0.868  0.742
La  0.724  0.276  0.750
La  0.770  0.230  0.250
La  0.868  0.621  0.242
La  0.977  0.023  0.250
Tb  0.220  0.468  0.441
Tb  0.468  0.220  0.941
Tb  0.532  0.780  0.059
Tb  0.780  0.532  0.559
Pr  0.027  0.277  0.058
Pr  0.277  0.027  0.558
Pr  0.482  0.518  0.250
Pr  0.518  0.482  0.750
Pr  0.723  0.973  0.442
Pr  0.973  0.723  0.942


Record 10
BaPdAu3 after structural relaxation. Source: Alexandria via LeMat-Bulk, functional GGA-PBE.

Calculated values
Calculated density ... 11.87 g cm⁻³
Calculated formation energy ... -460 meV per atom
Relative energy among the computed polymorphs ... 0.0 meV per atom

Cell: 7.188 7.188 5.943 Å, 90.00 90.00 130.47°
Positions (direct):
Ba  0.112  0.888  0.750
Ba  0.888  0.112  0.250
Pd  0.500  0.500  0.000
Pd  0.500  0.500  0.500
Au  0.113  0.387  0.750
Au  0.315  0.685  0.250
Au  0.387  0.113  0.250
Au  0.613  0.887  0.750
Au  0.685  0.315  0.750
Au  0.887  0.613  0.250


Record 11
NbGe3Bi after structural relaxation. Source: Alexandria via LeMat-Bulk, functional GGA-PBE.

Calculated values
Calculated density ... 6.61 g cm⁻³
Calculated formation energy ... 469 meV per atom
Relative energy among the computed polymorphs ... 0.0 meV per atom

Cell: 5.073 5.073 5.073 Å, 90.00 90.00 90.00°
Positions (direct):
Nb  0.000  0.000  0.000
Ge  0.000  0.000  0.500
Ge  0.000  0.500  0.000
Ge  0.500  0.000  0.000
Bi  0.500  0.500  0.500


Record 12
Tm3CoCl3 after structural relaxation. Source: Alexandria via LeMat-Bulk, functional GGA-PBE.

Calculated values
Calculated density ... 6.27 g cm⁻³
Formation energy from raw total energies ... -1396 meV/atom

Cell: 8.155 3.875 11.263 Å, 90.00 90.42 90.00°
Positions (direct):
Tm  0.099  0.250  0.327
Tm  0.149  0.250  0.861
Tm  0.270  0.750  0.099
Tm  0.730  0.250  0.901
Tm  0.851  0.750  0.139
Tm  0.901  0.750  0.673
Co  0.053  0.250  0.095
Co  0.947  0.750  0.905
Cl  0.123  0.250  0.598
Cl  0.329  0.750  0.352
Cl  0.433  0.750  0.872
Cl  0.567  0.250  0.128
Cl  0.671  0.250  0.648
Cl  0.877  0.750  0.402


Record 13
Y6Cd5Pb after structural relaxation. Source: Alexandria via LeMat-Bulk, functional GGA-PBE.

Calculated values
Calculated density ... 6.77 g cm⁻³
Calculated formation energy ... -385 meV per atom

Cell: 8.460 8.460 7.466 Å, 90.00 90.00 143.25°
Positions (direct):
Y  0.000  0.000  0.248
Y  0.000  0.000  0.752
Y  0.332  0.668  0.246
Y  0.332  0.668  0.754
Y  0.668  0.332  0.246
Y  0.668  0.332  0.754
Cd  0.166  0.834  0.000
Cd  0.174  0.826  0.500
Cd  0.500  0.500  0.000
Cd  0.826  0.174  0.500
Cd  0.834  0.166  0.000
Pb  0.500  0.500  0.500


Record 14
AlCdAs after structural relaxation. Source: Alexandria via LeMat-Bulk, functional GGA-PBE.

Calculated values
Calculated density ... 5.78 g cm⁻³
Calculated formation energy ... 123 meV per atom
Relative energy among the computed polymorphs ... 17.3 meV per atom

Cell: 6.283 6.283 6.283 Å, 152.88 146.92 43.29°
Positions (direct):
Al  0.000  0.000  0.000
Cd  0.323  0.323  0.000
As  0.625  0.625  0.000


Record 15
BaAuSCl2 after structural relaxation. Source: Alexandria via LeMat-Bulk, functional GGA-PBE.

Calculated values
Calculated density ... 5.51 g cm⁻³
Formation energy from raw total energies ... -1083 meV/atom
Relative energy among the computed polymorphs ... 0.0 meV per atom

Cell: 5.093 5.093 5.080 Å, 90.00 90.00 90.00°
Positions (direct):
Ba  0.000  0.000  0.000
Au  0.500  0.500  0.500
S  0.500  0.500  0.000
Cl  0.000  0.500  0.500
Cl  0.500  0.000  0.500


Record 16
Mg2Zn2SnPd5 after structural relaxation. Source: Alexandria via LeMat-Bulk, functional GGA-PBE.

Calculated values
Calculated density ... 8.16 g cm⁻³
Calculated formation energy ... -542 meV per atom

Cell: 9.504 9.504 3.740 Å, 90.00 90.00 90.00°
Positions (direct):
Mg  0.172  0.328  0.000
Mg  0.328  0.828  0.000
Mg  0.672  0.172  0.000
Mg  0.828  0.672  0.000
Zn  0.125  0.625  0.000
Zn  0.375  0.125  0.000
Zn  0.625  0.875  0.000
Zn  0.875  0.375  0.000
Sn  0.000  0.000  0.000
Sn  0.500  0.500  0.000
Pd  0.000  0.500  0.500
Pd  0.082  0.802  0.500
Pd  0.198  0.082  0.500
Pd  0.302  0.582  0.500
Pd  0.418  0.302  0.500
Pd  0.500  0.000  0.500
Pd  0.582  0.698  0.500
Pd  0.698  0.418  0.500
Pd  0.802  0.918  0.500
Pd  0.918  0.198  0.500


Record 17
Na2MgCd4Sn3 after structural relaxation. Source: Alexandria via LeMat-Bulk, functional GGA-PBE.

Calculated values
Calculated density ... 5.31 g cm⁻³
Calculated formation energy ... -79 meV per atom

Cell: 4.555 4.555 13.198 Å, 90.00 90.00 90.00°
Positions (direct):
Na  0.000  0.500  0.247
Na  0.500  0.000  0.753
Mg  0.000  0.000  0.500
Cd  0.000  0.000  0.000
Cd  0.000  0.500  0.644
Cd  0.500  0.000  0.356
Cd  0.500  0.500  0.000
Sn  0.000  0.500  0.858
Sn  0.500  0.000  0.142
Sn  0.500  0.500  0.500


Record 18
Sm2Ni12Ge7 after structural relaxation. Source: Alexandria via LeMat-Bulk, functional GGA-PBE.

Calculated values
Calculated density ... 8.51 g cm⁻³
Calculated formation energy ... -486 meV per atom

Cell: 9.435 9.435 3.830 Å, 90.00 90.00 120.00°
Positions (direct):
Sm  0.000  0.000  0.000
Sm  0.333  0.667  0.500
Ni  0.035  0.283  0.500
Ni  0.117  0.732  0.000
Ni  0.248  0.965  0.500
Ni  0.268  0.384  0.000
Ni  0.385  0.186  0.000
Ni  0.559  0.426  0.500
Ni  0.574  0.133  0.500
Ni  0.616  0.883  0.000
Ni  0.717  0.752  0.500
Ni  0.800  0.615  0.000
Ni  0.814  0.200  0.000
Ni  0.867  0.441  0.500
Ge  0.058  0.455  0.000
Ge  0.264  0.234  0.500
Ge  0.397  0.942  0.000
Ge  0.545  0.603  0.000
Ge  0.667  0.333  0.000
Ge  0.766  0.030  0.500
Ge  0.970  0.736  0.500


Record 19
TbPr3Er3 after structural relaxation. Source: Alexandria via LeMat-Bulk, functional GGA-PBE.

Calculated values
Calculated density ... 7.69 g cm⁻³
Calculated formation energy ... 25 meV per atom
Relative energy among the computed polymorphs ... 0.0 meV per atom

Cell: 9.666 9.666 5.784 Å, 90.00 90.00 120.00°
Positions (direct):
Tb  0.333  0.667  0.250
Tb  0.667  0.333  0.750
Pr  0.051  0.245  0.250
Pr  0.194  0.949  0.250
Pr  0.245  0.194  0.750
Pr  0.755  0.806  0.250
Pr  0.806  0.051  0.750
Pr  0.949  0.755  0.750
Er  0.095  0.481  0.750
Er  0.385  0.905  0.750
Er  0.481  0.385  0.250
Er  0.519  0.615  0.750
Er  0.615  0.095  0.250
Er  0.905  0.519  0.250


Record 20
EuTmCdPd after structural relaxation. Source: Alexandria via LeMat-Bulk, functional GGA-PBE.

Calculated values
Calculated density ... 9.12 g cm⁻³
Calculated formation energy ... -466 meV per atom

Cell: 5.181 5.181 5.181 Å, 60.00 60.00 60.00°
Positions (direct):
Eu  0.000  0.000  0.000
Tm  0.500  0.500  0.500
Cd  0.250  0.250  0.250
Pd  0.750  0.750  0.750


Record 21
In6Ga after structural relaxation. Source: Alexandria via LeMat-Bulk, functional GGA-PBE.

Calculated values
Calculated density ... 4.64 g cm⁻³
Calculated formation energy ... 439 meV per atom
Relative energy among the computed polymorphs ... 417.7 meV per atom

Cell: 7.067 7.067 7.067 Å, 109.47 109.47 109.47°
Positions (direct):
In  0.250  0.500  0.750
In  0.250  0.750  0.500
In  0.500  0.250  0.750
In  0.500  0.750  0.250
In  0.750  0.250  0.500
In  0.750  0.500  0.250
Ga  0.000  0.000  0.000


Record 22
ZrNbP2Cl after structural relaxation. Source: Alexandria via LeMat-Bulk, functional GGA-PBE.

Calculated values
Calculated density ... 3.83 g cm⁻³
Formation energy from raw total energies ... 378 meV/atom
Relative energy among the computed polymorphs ... 248.4 meV per atom

Cell: 5.043 5.043 4.800 Å, 90.00 90.00 90.00°
Positions (direct):
Zr  0.000  0.000  0.000
Nb  0.500  0.500  0.500
P  0.000  0.500  0.000
P  0.500  0.000  0.000
Cl  0.000  0.000  0.500